1.
Here is Dy5InAg after structural relaxation from the Alexandria database. Energies are from PBE.

Lattice parameters (Å, degrees): 6.395 6.395 10.207 91.53 91.53 91.03
Positions (direct):
Dy (0.056, 0.610, 0.335)
Dy (0.137, 0.863, 0.750)
Dy (0.235, 0.415, 0.999)
Dy (0.390, 0.944, 0.165)
Dy (0.415, 0.235, 0.499)
Dy (0.585, 0.765, 0.501)
Dy (0.610, 0.056, 0.835)
Dy (0.765, 0.585, 0.001)
Dy (0.863, 0.137, 0.250)
Dy (0.944, 0.390, 0.665)
In (0.478, 0.522, 0.750)
In (0.522, 0.478, 0.250)
Ag (0.000, 0.000, 0.000)
Ag (0.000, 0.000, 0.500)

Results
Formation energy in eV per atom: -0.050

---

2.
Here is Li2TeIr after structural relaxation from the Alexandria database. Energies are from PBE.

Lattice parameters (Å, degrees): 8.975 8.975 8.975 19.38 19.38 19.38
Positions (direct):
Li (0.241, 0.241, 0.241)
Li (0.759, 0.759, 0.759)
Te (0.000, 0.000, 0.000)
Ir (0.500, 0.500, 0.500)

Results
Uncorrected formation energy in kcal/mol of atoms: -0.9

---

3.
Here is SmPuZnBi after structural relaxation from the Alexandria database. Energies are from PBE.

Lattice parameters (Å, degrees): 5.357 5.357 5.357 60.00 60.00 60.00
Positions (direct):
Sm (0.000, 0.000, 0.000)
Pu (0.500, 0.500, 0.500)
Zn (0.750, 0.750, 0.750)
Bi (0.250, 0.250, 0.250)

Results
Formation energy in eV per atom: -0.281

---

4.
Here is Sb6O13 after structural relaxation from the Alexandria database. Energies are from PBE.

Lattice parameters (Å, degrees): 7.397 7.417 10.333 90.00 90.99 90.00
Positions (direct):
Sb (0.000, 0.000, 0.000)
Sb (0.000, 0.000, 0.500)
Sb (0.000, 0.500, 0.000)
Sb (0.000, 0.500, 0.500)
Sb (0.234, 0.250, 0.272)
Sb (0.247, 0.250, 0.747)
Sb (0.261, 0.750, 0.254)
Sb (0.500, 0.000, 0.000)
Sb (0.500, 0.500, 0.000)
Sb (0.739, 0.250, 0.746)
Sb (0.753, 0.750, 0.253)
Sb (0.766, 0.750, 0.728)
O (0.009, 0.750, 0.165)
O (0.021, 0.250, 0.419)
O (0.047, 0.250, 0.130)
O (0.187, 0.051, 0.629)
O (0.187, 0.449, 0.629)
O (0.194, 0.546, 0.369)
O (0.194, 0.954, 0.369)
O (0.285, 0.057, 0.885)
O (0.285, 0.443, 0.885)
O (0.300, 0.549, 0.126)
O (0.300, 0.951, 0.126)
O (0.493, 0.250, 0.682)
O (0.497, 0.750, 0.929)
O (0.503, 0.250, 0.071)
O (0.507, 0.750, 0.318)
O (0.700, 0.049, 0.874)
O (0.700, 0.451, 0.874)
O (0.715, 0.557, 0.115)
O (0.715, 0.943, 0.115)
O (0.806, 0.046, 0.631)
O (0.806, 0.454, 0.631)
O (0.813, 0.551, 0.371)
O (0.813, 0.949, 0.371)
O (0.953, 0.750, 0.870)
O (0.979, 0.750, 0.581)
O (0.991, 0.250, 0.835)

Results
Energy above the most stable polymorph in this dataset in eV/f.u.: 0.00
Uncorrected formation energy in kcal/mol of atoms: -30.1

---

Repeat the fourth record exactly.
Here is Sb6O13 after structural relaxation from the Alexandria database. Energies are from PBE.

Lattice parameters (Å, degrees): 7.397 7.417 10.333 90.00 90.99 90.00
Positions (direct):
Sb (0.000, 0.000, 0.000)
Sb (0.000, 0.000, 0.500)
Sb (0.000, 0.500, 0.000)
Sb (0.000, 0.500, 0.500)
Sb (0.234, 0.250, 0.272)
Sb (0.247, 0.250, 0.747)
Sb (0.261, 0.750, 0.254)
Sb (0.500, 0.000, 0.000)
Sb (0.500, 0.500, 0.000)
Sb (0.739, 0.250, 0.746)
Sb (0.753, 0.750, 0.253)
Sb (0.766, 0.750, 0.728)
O (0.009, 0.750, 0.165)
O (0.021, 0.250, 0.419)
O (0.047, 0.250, 0.130)
O (0.187, 0.051, 0.629)
O (0.187, 0.449, 0.629)
O (0.194, 0.546, 0.369)
O (0.194, 0.954, 0.369)
O (0.285, 0.057, 0.885)
O (0.285, 0.443, 0.885)
O (0.300, 0.549, 0.126)
O (0.300, 0.951, 0.126)
O (0.493, 0.250, 0.682)
O (0.497, 0.750, 0.929)
O (0.503, 0.250, 0.071)
O (0.507, 0.750, 0.318)
O (0.700, 0.049, 0.874)
O (0.700, 0.451, 0.874)
O (0.715, 0.557, 0.115)
O (0.715, 0.943, 0.115)
O (0.806, 0.046, 0.631)
O (0.806, 0.454, 0.631)
O (0.813, 0.551, 0.371)
O (0.813, 0.949, 0.371)
O (0.953, 0.750, 0.870)
O (0.979, 0.750, 0.581)
O (0.991, 0.250, 0.835)

Results
Energy above the most stable polymorph in this dataset in eV/f.u.: 0.00
Uncorrected formation energy in kcal/mol of atoms: -30.1

---

> What is the formula in the third record?

SmPuZnBi